HfAlSbO6 after structural relaxation. Source: Alexandria, functional PBE.

Electronic total energy ... -7.638 eV/atom
Size of the total moment ... 0.000 μB per formula unit
Formation energy (no corrections) ... -2043 kJ/mol of formula units

Unit cell a=5.1773 b=5.1773 c=8.6405 alpha=90.00 beta=90.00 gamma=120.00
Space group P-31c (No. 163)
Asymmetric unit:
Hf1 0.3333 0.6667 0.2500
Al1 0.0000 0.0000 0.0000
Sb1 0.3333 0.6667 0.7500
O1 0.0100 0.3301 0.6245